No. 1
Compound: Ba3Cd4Pb4
Source: Alexandria via LeMat-Bulk
Functional: PBE
Structure: relaxed

Unit cell a=9.855 b=9.855 c=9.855 alpha=148.83 beta=132.11 gamma=58.25
Fractional positions:
Ba1 0.000 0.000 0.000
Ba2 0.372 0.872 0.500
Ba3 0.628 0.128 0.500
Cd1 0.025 0.334 0.691
Cd2 0.358 0.666 0.691
Cd3 0.642 0.334 0.309
Cd4 0.975 0.666 0.309
Pb1 0.217 0.217 0.000
Pb2 0.308 0.500 0.808
Pb3 0.692 0.500 0.192
Pb4 0.783 0.783 0.000

## Properties
VASP energy (eV per atom): -2.60
DOS at the Fermi energy (states/eV/f.u.): 4.30

---

No. 2
Compound: ErMg2Ag2Sn2
Source: Alexandria via LeMat-Bulk
Functional: PBE
Structure: relaxed

Unit cell a=8.689 b=8.689 c=8.689 alpha=31.03 beta=31.03 gamma=31.03
Fractional positions:
Er1 0.000 0.000 0.000
Mg1 0.138 0.138 0.138
Mg2 0.862 0.862 0.862
Ag1 0.440 0.440 0.440
Ag2 0.560 0.560 0.560
Sn1 0.267 0.267 0.267
Sn2 0.733 0.733 0.733

## Properties
VASP energy (eV per atom): -3.37
DOS at the Fermi energy (states/eV/f.u.): 2.12

---

No. 3
Compound: PmNd2MoN4
Source: Alexandria via LeMat-Bulk
Functional: PBE
Structure: relaxed

Unit cell a=6.268 b=6.268 c=12.331 alpha=90.00 beta=90.00 gamma=147.59
Fractional positions:
Pm1 0.094 0.906 0.750
Pm2 0.906 0.094 0.250
Nd1 0.369 0.631 0.540
Nd2 0.369 0.631 0.960
Nd3 0.631 0.369 0.040
Nd4 0.631 0.369 0.460
Mo1 0.166 0.834 0.250
Mo2 0.834 0.166 0.750
N1 0.000 0.000 0.000
N2 0.000 0.000 0.500
N3 0.269 0.731 0.132
N4 0.269 0.731 0.368
N5 0.437 0.563 0.750
N6 0.563 0.437 0.250
N7 0.731 0.269 0.632
N8 0.731 0.269 0.868

## Properties
Raw formation energy (meV/atom): -956
DOS at the Fermi energy (states/eV/f.u.): 2.49

---

No. 4
Compound: Tb2SmNi
Source: Alexandria via LeMat-Bulk
Functional: PBE
Structure: relaxed

Unit cell a=9.223 b=9.223 c=9.223 alpha=23.97 beta=23.97 gamma=23.97
Fractional positions:
Tb1 0.000 0.000 0.000
Tb2 0.216 0.216 0.216
Sm1 0.773 0.773 0.773
Ni1 0.609 0.609 0.609

## Properties
Energy above the most stable polymorph in this dataset (meV/atom): 122.1
DOS at the Fermi energy (states/eV/f.u.): 4.53

---

No. 5
Compound: TmAlZnPd
Source: Alexandria via LeMat-Bulk
Functional: PBE
Structure: relaxed

Unit cell a=4.646 b=4.646 c=4.646 alpha=60.00 beta=60.00 gamma=60.00
Fractional positions:
Tm1 0.000 0.000 0.000
Al1 0.500 0.500 0.500
Zn1 0.250 0.250 0.250
Pd1 0.750 0.750 0.750

## Properties
VASP energy (eV per atom): -4.30
DOS at the Fermi energy (states/eV/f.u.): 1.34

---

No. 6
Compound: Ac2MgAl12Cu3
Source: Alexandria via LeMat-Bulk
Functional: PBE
Structure: relaxed

Unit cell a=10.714 b=10.714 c=10.714 alpha=35.84 beta=35.84 gamma=35.84
Fractional positions:
Ac1 0.141 0.141 0.141
Ac2 0.859 0.859 0.859
Mg1 0.500 0.500 0.500
Al1 0.095 0.095 0.687
Al2 0.095 0.687 0.095
Al3 0.135 0.569 0.569
Al4 0.313 0.905 0.905
Al5 0.431 0.431 0.865
Al6 0.431 0.865 0.431
Al7 0.569 0.135 0.569
Al8 0.569 0.569 0.135
Al9 0.687 0.095 0.095
Al10 0.865 0.431 0.431
Al11 0.905 0.313 0.905
Al12 0.905 0.905 0.313
Cu1 0.000 0.500 0.500
Cu2 0.500 0.000 0.500
Cu3 0.500 0.500 0.000

## Properties
VASP energy (eV per atom): -3.76
DOS at the Fermi energy (states/eV/f.u.): 6.15

---

No. 7
Compound: KBeSe2
Source: Alexandria via LeMat-Bulk
Functional: PBE
Structure: relaxed

Unit cell a=4.724 b=4.724 c=3.904 alpha=90.00 beta=90.00 gamma=90.00
Fractional positions:
K1 0.000 0.000 0.000
Be1 0.500 0.500 0.000
Se1 0.000 0.500 0.500
Se2 0.500 0.000 0.500

## Properties
Raw formation energy (meV/atom): 214
DOS at the Fermi energy (states/eV/f.u.): 2.19

---

No. 8
Compound: PmGa3Pd2
Source: Alexandria via LeMat-Bulk
Functional: PBE
Structure: relaxed

Unit cell a=4.317 b=4.317 c=13.786 alpha=90.00 beta=90.00 gamma=120.00
Fractional positions:
Pm1 0.000 0.000 0.250
Pm2 0.000 0.000 0.750
Ga1 0.000 0.000 0.000
Ga2 0.000 0.000 0.500
Ga3 0.333 0.667 0.123
Ga4 0.333 0.667 0.377
Ga5 0.667 0.333 0.623
Ga6 0.667 0.333 0.877
Pd1 0.333 0.667 0.574
Pd2 0.333 0.667 0.926
Pd3 0.667 0.333 0.074
Pd4 0.667 0.333 0.426

## Properties
Energy above the most stable polymorph in this dataset (meV/atom): 0.0
DOS at the Fermi energy (states/eV/f.u.): 1.75

---

No. 9
Compound: MgSeI2N
Source: Alexandria via LeMat-Bulk
Functional: PBE
Structure: relaxed

Unit cell a=5.725 b=5.725 c=3.928 alpha=90.00 beta=90.00 gamma=90.00
Fractional positions:
Mg1 0.000 0.000 0.000
Se1 0.500 0.500 0.500
I1 0.000 0.500 0.000
I2 0.500 0.000 0.000
N1 0.000 0.000 0.500

## Properties
Raw formation energy (meV/atom): 751
Energy above the most stable polymorph in this dataset (meV/atom): 163.6
DOS at the Fermi energy (states/eV/f.u.): 6.80

---

No. 10
Compound: Zr2I3Cl
Source: Alexandria via LeMat-Bulk
Functional: PBE
Structure: relaxed

Unit cell a=16.520 b=16.520 c=6.795 alpha=91.33 beta=91.33 gamma=12.81
Fractional positions:
Zr1 0.116 0.116 0.323
Zr2 0.381 0.381 0.050
Zr3 0.619 0.619 0.950
Zr4 0.884 0.884 0.677
I1 0.065 0.065 0.711
I2 0.186 0.186 0.065
I3 0.332 0.332 0.435
I4 0.668 0.668 0.565
I5 0.814 0.814 0.935
I6 0.935 0.935 0.289
Cl1 0.438 0.438 0.788
Cl2 0.562 0.562 0.212

## Properties
Raw formation energy (meV/atom): -1031
DOS at the Fermi energy (states/eV/f.u.): 0.04

---

No. 11
Compound: BaNaRh4
Source: Alexandria via LeMat-Bulk
Functional: PBE
Structure: relaxed

Unit cell a=5.477 b=5.477 c=5.477 alpha=60.00 beta=60.00 gamma=60.00
Fractional positions:
Ba1 0.000 0.000 0.000
Na1 0.250 0.250 0.250
Rh1 0.127 0.624 0.624
Rh2 0.624 0.127 0.624
Rh3 0.624 0.624 0.127
Rh4 0.624 0.624 0.624

## Properties
VASP energy (eV per atom): -5.35
DOS at the Fermi energy (states/eV/f.u.): 11.55

---

No. 12
Compound: AgSb2Ru
Source: Alexandria via LeMat-Bulk
Functional: PBE
Structure: relaxed

Unit cell a=4.538 b=4.538 c=6.031 alpha=100.64 beta=100.64 gamma=43.13
Fractional positions:
Ag1 0.000 0.000 0.000
Sb1 0.234 0.234 0.720
Sb2 0.766 0.766 0.280
Ru1 0.500 0.500 0.500

## Properties
Raw formation energy (meV/atom): 174
DOS at the Fermi energy (states/eV/f.u.): 2.94

---

> The lowest DOS at the Fermi energy belongs to which entry?

Zr2I3Cl

---

> DOS at the Fermi energy of number 12 (AgSb2Ru)?

2.94 states/eV/f.u.

---

> DOS at the Fermi energy of number 10 (Zr2I3Cl)?

0.04 states/eV/f.u.

---

> The highest DOS at the Fermi energy belongs to which entry?

BaNaRh4